# 1
## DyYRh2 (GGA-PBE)

Data for a relaxed structure of DyYRh2.

Summary:
Formation enthalpy at 0 K in eV/atom: -0.86

Unit cell a=6.8607 b=6.8607 c=6.8607 alpha=90.00 beta=90.00 gamma=90.00
Space group Fm-3m (No. 225)
Symmetry-distinct sites (fractional):
Dy1 0.0000 0.0000 0.0000 (multiplicity 4)
Y1 0.0000 0.0000 0.5000 (multiplicity 4)
Rh1 0.2500 0.2500 0.2500 (multiplicity 8)

# 2
## YTm2Zr (GGA-PBE)

Data for a relaxed structure of YTm2Zr.

Summary:
Formation enthalpy at 0 K in eV/atom: 0.20

Unit cell a=7.7269 b=7.7269 c=7.7269 alpha=90.00 beta=90.00 gamma=90.00
Space group Fm-3m (No. 225)
Symmetry-distinct sites (fractional):
Y1 0.0000 0.0000 0.0000 (multiplicity 4)
Tm1 0.2500 0.2500 0.2500 (multiplicity 8)
Zr1 0.0000 0.0000 0.5000 (multiplicity 4)

# 3
## PrTl2Sn2 (GGA-PBE)

Data for a relaxed structure of PrTl2Sn2.

Summary:
Formation enthalpy at 0 K in eV/atom: -0.30

Unit cell a=4.5657 b=27.5885 c=4.6137 alpha=90.00 beta=90.00 gamma=90.00
Space group Cmcm (No. 63)
Symmetry-distinct sites (fractional):
Pr1 0.0000 0.1581 0.2500 (multiplicity 4)
Tl1 0.0000 0.0536 0.7500 (multiplicity 4)
Tl2 0.0000 0.4478 0.7500 (multiplicity 4)
Sn1 0.0000 0.2494 0.7500 (multiplicity 4)
Sn2 0.0000 0.3548 0.2500 (multiplicity 4)

# 4
## BaEr2RuO8 (GGA-PBE)

Data for a relaxed structure of BaEr2RuO8.

Summary:
E in eV/cell: -86.127

Unit cell a=4.3438 b=5.2410 c=7.1958 alpha=88.56 beta=72.58 gamma=87.06
Space group P-1 (No. 2)
Symmetry-distinct sites (fractional):
Ba1 0.0000 0.0000 0.0000 (multiplicity 1)
Er1 0.3808 0.5299 0.3127 (multiplicity 2)
Ru1 0.0000 0.0000 0.5000 (multiplicity 1)
O1 0.1615 0.3075 0.5981 (multiplicity 2)
O2 0.2177 0.7648 0.6276 (multiplicity 2)
O3 0.3211 0.4985 0.0098 (multiplicity 2)
O4 0.3563 0.9649 0.2588 (multiplicity 2)

Number 1: M_tot 0.000 μB/atom. Number 2: M_tot 0.724 μB/atom. Number 3: M_tot 0.000 μB/atom. Number 4: M_tot 0.168 μB/atom.